1.
{
  "formula": "KLiTl2Ga",
  "functional": "PBE",
  "state": "relaxed",
  "magmom_total_mub_per_cell": 0.0,
  "e_tot_ev_per_cell": -10.67,
  "delta_e_f_ev_per_atom": 0.02,
  "n_ef_per_ev_atom": 0.82,
  "lattice_angstrom": [[5.682, 0.000, 0.000], [0.000, 5.682, 0.000], [0.000, 0.000, 5.212]],
  "species": ["K", "Li", "Tl", "Tl", "Ga"],
  "frac_coords": [[0.000, 0.000, 0.000], [0.500, 0.500, 0.000], [0.000, 0.500, 0.500], [0.500, 0.000, 0.500], [0.500, 0.500, 0.500]]
}

=====

2.
{
  "formula": "Na2TiPO6",
  "functional": "PBE",
  "state": "relaxed",
  "formation_energy_uncorrected_ev_per_fu": -19.49,
  "magmom_total_mub_per_cell": 1.0,
  "e_tot_ev_per_cell": -65.18,
  "n_ef_per_ev_atom": 0.05,
  "lattice_angstrom": [[5.715, 0.000, 0.000], [-2.857, 4.949, 0.000], [0.000, 0.000, 4.945]],
  "species": ["Na", "Na", "Ti", "P", "O", "O", "O", "O", "O", "O"],
  "frac_coords": [[0.333, 0.667, 0.435], [0.667, 0.333, 0.565], [0.000, 0.000, 0.000], [0.000, 0.000, 0.500], [0.139, 0.277, 0.710], [0.139, 0.861, 0.710], [0.277, 0.139, 0.290], [0.723, 0.861, 0.710], [0.861, 0.139, 0.290], [0.861, 0.723, 0.290]]
}

=====

3.
{
  "formula": "Mo3WN",
  "functional": "PBE",
  "state": "relaxed",
  "formation_energy_uncorrected_ev_per_fu": 14.80,
  "magmom_total_mub_per_cell": 0.0,
  "e_tot_ev_per_cell": -38.97,
  "polymorph_energy_ev_per_atom": 2.968,
  "n_ef_per_ev_atom": 1.56,
  "lattice_angstrom": [[4.741, 0.000, 0.000], [0.000, 4.741, 0.000], [0.000, 0.000, 4.741]],
  "species": ["Mo", "Mo", "Mo", "W", "N"],
  "frac_coords": [[0.000, 0.000, 0.500], [0.000, 0.500, 0.000], [0.500, 0.000, 0.000], [0.000, 0.000, 0.000], [0.500, 0.500, 0.500]]
}

=====

4.
{
  "formula": "YTa2Cd",
  "functional": "PBE",
  "state": "relaxed",
  "magmom_total_mub_per_cell": 0.0,
  "e_tot_ev_per_cell": -60.55,
  "delta_e_f_ev_per_atom": 0.20,
  "n_ef_per_ev_atom": 1.10,
  "lattice_angstrom": [[3.599, 0.000, 0.000], [0.000, 4.822, 0.000], [0.000, 0.000, 9.838]],
  "species": ["Y", "Y", "Ta", "Ta", "Ta", "Ta", "Cd", "Cd"],
  "frac_coords": [[0.000, 0.000, 0.000], [0.500, 0.500, 0.000], [0.000, 0.000, 0.475], [0.000, 0.500, 0.260], [0.500, 0.000, 0.260], [0.500, 0.500, 0.475], [0.000, 0.500, 0.722], [0.500, 0.000, 0.722]]
}